[1]
{
  "formula": "Nb2ZnNiN",
  "functional": "PBE",
  "state": "optimized geometry",
  "cell": [[4.2438, 0.0000, 0.0000], [0.0000, 4.2438, 0.0000], [0.0000, 0.0000, 3.8202]],
  "species": ["Nb", "Nb", "Zn", "Ni", "N"],
  "frac_coords": [[0.0000, 0.5000, 0.0000], [0.5000, 0.0000, 0.0000], [0.0000, 0.0000, 0.5000], [0.5000, 0.5000, 0.5000], [0.5000, 0.5000, 0.0000]]
}

---

[2]
{
  "formula": "NpNbN3",
  "functional": "PBE",
  "state": "optimized geometry",
  "cell": [[5.5786, 0.0000, 0.0000], [0.0000, 3.6568, 0.0000], [-2.6611, 0.0000, 7.7598]],
  "species": ["Np", "Np", "Nb", "Nb", "N", "N", "N", "N", "N", "N"],
  "frac_coords": [[0.0491, 0.2500, 0.3272], [0.9509, 0.7500, 0.6728], [0.4764, 0.2500, 0.8365], [0.5236, 0.7500, 0.1635], [0.1538, 0.2500, 0.6164], [0.2499, 0.7500, 0.2538], [0.3399, 0.7500, 0.8874], [0.6601, 0.2500, 0.1126], [0.7501, 0.2500, 0.7462], [0.8462, 0.7500, 0.3836]]
}

---

[3]
{
  "formula": "NpNbN",
  "functional": "PBE",
  "state": "optimized geometry",
  "cell": [[3.1348, 0.0000, 0.0000], [-1.5674, 2.7149, 0.0000], [0.0000, 0.0000, 5.5879]],
  "species": ["Np", "Nb", "N"],
  "frac_coords": [[0.0000, 0.0000, 0.0000], [0.6667, 0.3333, 0.5047], [0.3333, 0.6667, 0.7180]],
  "relative_energy_ev_per_fu": 0.26
}

---

| no. | formation energy from raw total energies (eV per atom) | N(E_F) (states/eV per cell) |
| --- | --- | --- |
| 1 | -0.3633 | 4.50 |
| 2 | -1.0036 | 15.42 |
| 3 | -0.4952 | 4.17 |